Arrangement w

Compound: LaReNi2
Source: Alexandria via LeMat-Bulk
Functional: PBEsol
Structure: optimized geometry

```
data_LaReNi2
_chemical_formula_sum 'La1 Re1 Ni2'
_cell_length_a 4.7287
_cell_length_b 4.7287
_cell_length_c 2.8084
_cell_angle_alpha 90.00
_cell_angle_beta 90.00
_cell_angle_gamma 105.49
_space_group_name_H-M_alt 'P 1'
_space_group_IT_number 1
_space_group_name_Hall 'P 1'
loop_
_atom_site_label
_atom_site_fract_x
_atom_site_fract_y
_atom_site_fract_z
_atom_site_occupancy
La1 0.0000 0.0000 0.0000 1
Re1 0.5000 0.5000 0.0000 1
Ni1 0.0000 0.5000 0.5000 1
Ni2 0.5000 0.0000 0.5000 1
```

Properties
M_tot ... 0.00 μB/cell

=====

Arrangement x

Compound: LaReNi2
Source: Alexandria via LeMat-Bulk
Functional: PBEsol
Structure: optimized geometry

```
data_LaReNi2
_chemical_formula_sum 'La1 Re1 Ni2'
_cell_length_a 4.9069
_cell_length_b 4.9069
_cell_length_c 4.9069
_cell_angle_alpha 132.69
_cell_angle_beta 132.69
_cell_angle_gamma 69.15
_space_group_name_H-M_alt 'P 1'
_space_group_IT_number 1
_space_group_name_Hall 'P 1'
loop_
_atom_site_label
_atom_site_fract_x
_atom_site_fract_y
_atom_site_fract_z
_atom_site_occupancy
La1 0.0000 0.0000 0.0000 1
Re1 0.2500 0.7500 0.5000 1
Ni1 0.5000 0.5000 0.0000 1
Ni2 0.7500 0.2500 0.5000 1
```

Properties
M_tot ... 1.57 μB/cell

=====

Pick the least stable structure from those above. Pick: arrangement x